(1)
DFT (PBE) results for a relaxed Eu3Dy12Ag5 crystal.

Unit cell a=15.5453 b=15.5453 c=15.5453 alpha=109.47 beta=109.47 gamma=109.47
Each line ends with the local moment (μB).
Sites, in units of the cell vectors:
Ag 0.5000 0.0000 0.5000  -0.01
Eu 0.3750 0.7500 0.6250  6.99
Dy 0.4652 0.7918 0.8903  0.10
Ag 0.1250 0.3750 0.2500  0.00
Ag 0.5000 0.0000 0.0000  -0.01
Dy 0.2082 0.6734 0.0984  0.10
Dy 0.7918 0.4652 0.3903  0.10
Eu 0.2500 0.1250 0.3750  6.99
Eu 0.1250 0.8750 0.7500  6.99
Ag 0.8750 0.2500 0.6250  0.00
Dy 0.1097 0.7082 0.5348  0.10
Eu 0.8750 0.7500 0.1250  6.99
Dy 0.5348 0.3266 0.9251  0.10
Dy 0.7082 0.5984 0.1734  0.10
Dy 0.9652 0.3903 0.2918  0.10
Dy 0.9251 0.8266 0.5348  0.10
Dy 0.0984 0.9251 0.3903  0.10
Dy 0.4251 0.3903 0.5984  0.10
Dy 0.5984 0.8903 0.4251  0.10
Ag 0.3750 0.1250 0.7500  0.00
Ag 0.6250 0.8750 0.2500  0.00
Ag 0.8750 0.6250 0.7500  0.00
Dy 0.4251 0.0348 0.3266  0.10
Dy 0.9016 0.0749 0.6097  0.10
Dy 0.9016 0.8266 0.7918  0.10
Dy 0.2918 0.8903 0.9652  0.10
Dy 0.1734 0.0984 0.7082  0.10
Ag 0.1250 0.7500 0.3750  0.00
Dy 0.6734 0.4652 0.5749  0.10
Dy 0.1734 0.0749 0.9652  0.10
Ag 0.7500 0.6250 0.3750  0.00
Dy 0.8903 0.2918 0.4652  0.10
Eu 0.8750 0.1250 0.2500  6.99
Ag 0.2500 0.3750 0.6250  0.00
Dy 0.6097 0.0348 0.2082  0.10
Dy 0.0749 0.1734 0.4652  0.10
Dy 0.3903 0.9652 0.7918  0.10
Dy 0.3266 0.5348 0.4251  0.10
Dy 0.5348 0.2082 0.1097  0.10
Dy 0.0984 0.1734 0.2082  0.10
Dy 0.6734 0.2082 0.5984  0.10
Ag 0.0000 0.0000 0.5000  -0.01
Dy 0.5749 0.9652 0.6734  0.10
Ag 0.0000 0.5000 0.0000  -0.01
Dy 0.4652 0.6734 0.0749  0.10
Dy 0.0749 0.9016 0.1097  0.10
Ag 0.5000 0.5000 0.0000  -0.01
Ag 0.0000 0.0000 0.0000  -0.01
Dy 0.8266 0.9251 0.0348  0.10
Dy 0.8266 0.9016 0.2918  0.10
Dy 0.7082 0.1097 0.0348  0.10
Dy 0.9652 0.5749 0.1734  0.10
Eu 0.7500 0.8750 0.6250  6.99
Dy 0.9251 0.0984 0.8903  0.10
Ag 0.3750 0.2500 0.1250  0.00
Ag 0.5000 0.5000 0.5000  -0.01
Eu 0.2500 0.6250 0.8750  6.99
Dy 0.4016 0.2918 0.3266  0.10
Dy 0.8903 0.5984 0.9251  0.10
Ag 0.7500 0.1250 0.8750  0.00
Dy 0.0348 0.6097 0.7082  0.10
Ag 0.6250 0.7500 0.8750  0.00
Eu 0.6250 0.3750 0.7500  6.99
Dy 0.3903 0.4251 0.0984  0.10
Eu 0.7500 0.3750 0.1250  6.99
Dy 0.0348 0.4251 0.8266  0.10
Dy 0.6097 0.5749 0.9016  0.10
Ag 0.2500 0.8750 0.1250  0.00
Dy 0.2082 0.5348 0.6097  0.10
Dy 0.2918 0.4016 0.8266  0.10
Dy 0.1097 0.4016 0.0749  0.10
Dy 0.7918 0.3266 0.9016  0.10
Dy 0.5749 0.6097 0.4016  0.10
Ag 0.0000 0.5000 0.5000  -0.01
Eu 0.1250 0.2500 0.8750  6.99
Eu 0.6250 0.2500 0.3750  6.99
Dy 0.4016 0.1097 0.5749  0.10
Dy 0.5984 0.7082 0.6734  0.10
Eu 0.3750 0.6250 0.2500  6.99
Dy 0.3266 0.7918 0.4016  0.10

Output
The value obtained for the formation enthalpy at 0 K is 493 meV per atom. The value obtained for the electronic total energy is -4.52 eV/atom. The volume comes out at 723 Å³/f.u.

=====

(2)
DFT (PBE) results for a relaxed EuDy2Ag crystal.

Unit cell a=3.6263 b=3.6263 c=10.9208 alpha=80.44 beta=80.44 gamma=60.00
Each line ends with the local moment (μB).
Sites, in units of the cell vectors:
Dy 0.7375 0.7375 0.7874  0.07
Ag 0.0000 0.0000 0.0000  0.00
Dy 0.2625 0.2625 0.2126  0.07
Eu 0.5000 0.5000 0.5000  7.00

Output
The value obtained for the formation enthalpy at 0 K is 36 meV per atom. The value obtained for the electronic total energy is -5.55 eV/atom. The volume comes out at 122 Å³/f.u.

=====

(3)
DFT (PBE) results for a relaxed EuDyAg2 crystal.

Unit cell a=3.7145 b=3.7145 c=7.5000 alpha=90.00 beta=90.00 gamma=90.00
Each line ends with the local moment (μB).
Sites, in units of the cell vectors:
Eu 0.5000 0.5000 0.5000  6.89
Dy 0.5000 0.5000 0.0000  0.02
Ag 0.0000 0.0000 0.7808  0.01
Ag 0.0000 0.0000 0.2192  0.01

Output
The value obtained for the formation enthalpy at 0 K is -303 meV per atom. The value obtained for the electronic total energy is -5.45 eV/atom. The volume comes out at 103 Å³/f.u.

=====

(4)
DFT (PBE) results for a relaxed EuDy2Ag crystal.

Unit cell a=3.6565 b=3.6565 c=8.9916 alpha=90.00 beta=90.00 gamma=90.00
Each line ends with the local moment (μB).
Sites, in units of the cell vectors:
Dy 0.0000 0.0000 0.1972  0.25
Ag 0.5000 0.5000 0.0000  0.03
Eu 0.5000 0.5000 0.5000  6.98
Dy 0.0000 0.0000 0.8028  0.25

Output
The value obtained for the formation enthalpy at 0 K is -77 meV per atom. The value obtained for the electronic total energy is -5.66 eV/atom. The volume comes out at 120 Å³/f.u.

=====

(5)
DFT (PBE) results for a relaxed EuDyAg2 crystal.

Unit cell a=5.2469 b=5.2469 c=5.2469 alpha=60.00 beta=60.00 gamma=60.00
Each line ends with the local moment (μB).
Sites, in units of the cell vectors:
Ag 0.7500 0.7500 0.7500  0.01
Dy 0.5000 0.5000 0.5000  0.04
Eu 0.0000 0.0000 0.0000  6.80
Ag 0.2500 0.2500 0.2500  0.01

Output
The value obtained for the formation enthalpy at 0 K is -263 meV per atom. The value obtained for the electronic total energy is -5.41 eV/atom. The volume comes out at 102 Å³/f.u.

=====

(6)
DFT (PBE) results for a relaxed EuDy2Ag crystal.

Unit cell a=4.0634 b=5.2789 c=5.2789 alpha=90.00 beta=90.00 gamma=90.00
Each line ends with the local moment (μB).
Sites, in units of the cell vectors:
Dy 0.0000 0.5000 0.0000  0.16
Dy 0.0000 0.0000 0.5000  0.16
Ag 0.5000 0.0000 0.0000  0.01
Eu 0.5000 0.5000 0.5000  6.85

Output
The value obtained for the formation enthalpy at 0 K is 56 meV per atom. The value obtained for the electronic total energy is -5.53 eV/atom. The volume comes out at 113 Å³/f.u.

=====

(7)
DFT (PBE) results for a relaxed EuDyAgPd crystal.

Unit cell a=5.1364 b=5.1364 c=5.1364 alpha=60.00 beta=60.00 gamma=60.00
Each line ends with the local moment (μB).
Sites, in units of the cell vectors:
Pd 0.7500 0.7500 0.7500  -0.01
Ag 0.2500 0.2500 0.2500  0.01
Dy 0.5000 0.5000 0.5000  0.06
Eu 0.0000 0.0000 0.0000  6.79

Output
The value obtained for the formation enthalpy at 0 K is -490 meV per atom. The value obtained for the electronic total energy is -6.22 eV/atom. The volume comes out at 96 Å³/f.u.

=====

(8)
DFT (PBE) results for a relaxed EuDyAgPt crystal.

Unit cell a=5.0994 b=5.0994 c=5.0994 alpha=60.00 beta=60.00 gamma=60.00
Each line ends with the local moment (μB).
Sites, in units of the cell vectors:
Pt 0.7500 0.7500 0.7500  -0.02
Eu 0.0000 0.0000 0.0000  6.76
Ag 0.2500 0.2500 0.2500  0.01
Dy 0.5000 0.5000 0.5000  0.05

Output
The value obtained for the formation enthalpy at 0 K is -657 meV per atom. The value obtained for the electronic total energy is -6.60 eV/atom. The volume comes out at 94 Å³/f.u.